The following is a PBE-GGA calculation of a relaxed Nd3ZnPt3 crystal, from Alexandria via LeMat-Bulk.

Cell lengths 4.155, 5.947, 14.199 Å; angles 84.86, 81.59, 69.56 degrees
Atoms (fractional coordinates):
Pt 0.876 0.171 0.077
Pt 0.124 0.829 0.923
Pt 0.133 0.283 0.452
Pt 0.867 0.717 0.548
Pt 0.022 0.191 0.765
Pt 0.978 0.809 0.235
Nd 0.525 0.336 0.615
Nd 0.606 0.711 0.077
Nd 0.394 0.289 0.923
Nd 0.475 0.664 0.385
Nd 0.264 0.245 0.228
Nd 0.736 0.755 0.772
Zn 0.769 0.064 0.399
Zn 0.231 0.936 0.601

Calculated values
The space group is C2/m.



The following is a PBE-GGA calculation of a relaxed AlCdAu2 crystal, from Alexandria via LeMat-Bulk.

Cell lengths 3.030, 3.030, 8.070 Å; angles 90.00, 90.00, 90.00 degrees
Atoms (fractional coordinates):
Au 0.000 0.000 0.977
Au 0.500 0.500 0.244
Al 0.500 0.500 0.776
Cd 0.000 0.000 0.503

Calculated values
The value obtained for the energy above the most stable polymorph in this dataset is 0.187 eV per atom. The space group is P4mm.



The following is a PBE-GGA calculation of a relaxed TiGePb3 crystal, from Alexandria via LeMat-Bulk.

Cell lengths 5.485, 5.485, 5.485 Å; angles 90.00, 90.00, 90.00 degrees
Last column: magnetic moment on the atom in μB.
Atoms (fractional coordinates):
Ti 0.500 0.500 0.500  1.87
Pb 0.500 0.000 0.000  -0.02
Pb 0.000 0.000 0.500  0.01
Pb 0.000 0.500 0.000  0.00
Ge 0.000 0.000 0.000  0.03

Calculated values
The value obtained for the energy above the most stable polymorph in this dataset is 0.346 eV per atom. The space group is Pm-3m.



The following is a PBE-GGA calculation of a relaxed MnZnCo3 crystal, from Alexandria via LeMat-Bulk.

Cell lengths 4.314, 4.314, 4.314 Å; angles 90.00, 90.00, 90.00 degrees
Last column: magnetic moment on the atom in μB.
Atoms (fractional coordinates):
Zn 0.000 0.000 0.000  -0.09
Co 0.000 0.000 0.500  1.64
Co 0.000 0.500 0.000  1.60
Co 0.500 0.000 0.000  1.43
Mn 0.500 0.500 0.500  4.02

Calculated values
The value obtained for the energy above the most stable polymorph in this dataset is 1.203 eV per atom. The space group is Pm-3m.



The following is a PBE-GGA calculation of a relaxed NaYZr3 crystal, from Alexandria via LeMat-Bulk.

Cell lengths 5.369, 5.369, 5.369 Å; angles 90.00, 90.00, 90.00 degrees
Atoms (fractional coordinates):
Zr 0.000 0.000 0.500
Zr 0.000 0.500 0.000
Zr 0.500 0.000 0.000
Na 0.500 0.500 0.500
Y 0.000 0.000 0.000

Calculated values
The value obtained for the energy above the most stable polymorph in this dataset is 0.180 eV per atom. The space group is Pm-3m.



The following is a PBE-GGA calculation of a relaxed BeAsP2 crystal, from Alexandria via LeMat-Bulk.

Cell lengths 2.790, 2.790, 7.889 Å; angles 90.00, 90.00, 100.41 degrees
Atoms (fractional coordinates):
P 0.000 0.000 0.920
P 0.000 0.000 0.580
Be 0.500 0.500 0.750
As 0.500 0.500 0.250

Calculated values
The value obtained for the energy above the most stable polymorph in this dataset is 0.445 eV per atom. The space group is Cmmm.



Ordered calculated formation energy results: -998 -80 872 1211 1364 460; unit meV/atom.
Ordered total energy results: -81.4 -11.5 -19.3 -25.7 -26.6 -17.4; unit eV per cell.